No. 1
RbNa6Sr5, relaxed, DFT PBE-GGA; calculated volume = 47.58 Å³ per atom; electronic total energy = -0.10280 Ry/atom; ΔE_f = 0.042 eV/atom
1.0
6.2410 -0.0015 -1.7469
-4.6871 9.0228 -4.7398
-0.2473 -1.3723 11.1311
Na Sr Rb
6 5 1
Cartesian
-0.4138 3.6600 -1.4932
-2.1403 5.7118 4.3398
3.4469 1.9372 0.3045
1.7205 3.9890 6.1376
1.0733 0.1782 3.8227
0.2334 7.4708 0.8217
-0.7960 7.2177 -2.8585
-1.7330 2.1062 5.8202
-3.2014 5.5443 0.5711
2.1026 0.4313 7.5029
0.6533 3.8245 2.3222
0.0000 0.0000 0.0000



No. 2
Rb2NaSr, relaxed, DFT PBE-GGA; calculated volume = 66.13 Å³ per atom; electronic total energy = -0.07908 Ry/atom; ΔE_f = 0.158 eV/atom
1.0
4.4262 0.0000 0.0000
2.2131 3.8332 0.0000
2.2131 1.2777 15.5905
Rb Na Sr
2 1 1
Cartesian
6.6393 3.8332 4.3213
2.2131 1.2777 11.2692
4.4262 2.5555 7.7952
0.0000 0.0000 0.0000



No. 3
RbNaSr, relaxed, DFT PBE-GGA; calculated volume = 59.41 Å³ per atom; electronic total energy = -0.09175 Ry/atom; ΔE_f = 0.074 eV/atom
1.0
4.3817 0.0010 0.0026
2.1887 3.7975 -0.0010
-0.0239 0.0092 21.4264
Na Rb Sr
2 2 2
Cartesian
1.4869 1.7143 21.1937
3.6938 2.9702 9.4868
3.6934 0.4426 13.0392
3.6803 0.4456 17.6449
3.6993 2.9697 2.9084
1.5048 1.7053 6.3459



No. 4
RbNaSr2, relaxed, DFT PBE-GGA; calculated volume = 60.85 Å³ per atom; electronic total energy = -0.08580 Ry/atom; ΔE_f = 0.245 eV/atom
1.0
5.6925 0.0000 0.0000
0.0000 5.6925 0.0000
2.8462 2.8462 15.0216
Na Rb Sr
2 2 4
Cartesian
2.8462 5.6925 7.5108
2.8462 2.8462 0.0000
0.0000 0.0000 0.0000
5.6925 2.8462 7.5108
1.4704 4.2694 3.7554
4.2694 4.3167 11.2662
4.2221 1.4231 3.7554
7.1156 7.0683 11.2662



No. 5
RbNa17Sr, relaxed, DFT PBE-GGA; calculated volume = 41.03 Å³ per atom; electronic total energy = -0.09494 Ry/atom; ΔE_f = 0.028 eV/atom
1.0
-5.8029 -0.2689 7.2536
5.1106 -5.3624 5.6112
3.9036 6.7215 5.0935
Na Rb Sr
17 1 1
Cartesian
2.5661 -2.6885 2.8307
-2.5185 -1.7498 6.7708
4.2224 3.1048 5.2707
-2.8716 1.7851 6.6194
1.0299 4.5948 5.7511
3.7411 -2.3858 9.0900
4.7075 -1.7522 5.4788
0.3206 0.1088 1.7927
-2.9074 -0.1339 3.6544
3.1193 3.8386 8.8233
-1.8804 0.2379 9.9359
1.9607 3.3721 2.5710
-0.3592 3.2285 8.8339
2.9062 0.9866 16.2519
1.8681 -3.7971 6.1107
4.7927 0.8240 8.0586
0.2106 -2.4759 9.0783
2.1189 0.7193 11.8491
1.0580 0.3592 5.9164



No. 6
RbNaSr, relaxed, DFT PBE-GGA; calculated volume = 58.17 Å³ per atom; electronic total energy = -0.09089 Ry/atom; ΔE_f = 0.086 eV/atom
1.0
4.4376 0.0000 0.0000
0.0000 4.4376 0.0000
-2.2188 -2.2188 8.8619
Sr Na Rb
1 1 1
Cartesian
0.0000 0.0000 5.5104
2.2188 2.2188 3.1235
0.0000 0.0000 0.2280



No. 7
RbNa2Sr2, relaxed, DFT PBE-GGA; calculated volume = 53.25 Å³ per atom; electronic total energy = -0.09593 Ry/atom; ΔE_f = 0.089 eV/atom
1.0
10.6444 0.0000 0.0000
0.0000 10.6444 0.0000
0.0000 0.0000 4.7001
Sr Na Rb
4 4 2
Cartesian
8.9786 3.6564 2.3501
3.6564 1.6658 2.3501
1.6658 6.9879 2.3501
6.9879 8.9786 2.3501
3.9069 9.2291 0.0000
1.4153 3.9069 0.0000
9.2291 6.7375 0.0000
6.7375 1.4153 0.0000
0.0000 0.0000 0.0000
5.3222 5.3222 0.0000



No. 8
Rb2NaSr, relaxed, DFT PBE-GGA; calculated volume = 65.63 Å³ per atom; electronic total energy = -0.08215 Ry/atom; ΔE_f = 0.116 eV/atom
1.0
4.5820 0.0000 0.0000
0.0000 4.5820 0.0000
0.0000 0.0000 12.5044
Na Rb Sr
1 2 1
Cartesian
2.2910 2.2910 0.0000
0.0000 0.0000 9.6980
0.0000 0.0000 2.8065
2.2910 2.2910 6.2522